(1)
Below is an optimized crystal structure of La6SmCd2, with properties calculated at the GGA-PBE level.

Summary:
VASP energy (eV/cell): -147.61
Magnetic moment (μB per formula unit): 0.0
D(E_F) (states/eV/f.u.): 12.83

Lattice parameters (Å, degrees): 16.4386 11.8402 6.1318 90.00 98.80 90.00
Space group C2/c (No. 15)
Asymmetric unit:
La (0.0576, 0.1174, 0.0296) x8
La (0.1154, 0.3844, 0.3051) x8
La (0.2373, 0.3763, 0.8472) x8
Sm (0.0000, 0.3586, 0.7500) x4
Cd (0.1571, 0.1367, 0.5931) x8



(2)
Below is an optimized crystal structure of La9SmCd2, with properties calculated at the GGA-PBE level.

Summary:
VASP energy (eV/cell): -51.87
Magnetic moment (μB per formula unit): 0.0
D(E_F) (states/eV/f.u.): 16.51

Lattice parameters (Å, degrees): 5.1223 5.1223 15.4055 90.00 90.00 90.00
Space group P4/mmm (No. 123)
Asymmetric unit:
La (0.0000, 0.0000, 0.0000) x1
La (0.0000, 0.0000, 0.3348) x2
La (0.0000, 0.5000, 0.1717) x4
La (0.0000, 0.5000, 0.5000) x2
Sm (0.5000, 0.5000, 0.0000) x1
Cd (0.5000, 0.5000, 0.3385) x2



(3)
Below is an optimized crystal structure of La5SmCd4, with properties calculated at the GGA-PBE level.

Summary:
VASP energy (eV/cell): -35.54
Magnetic moment (μB per formula unit): 0.9
D(E_F) (states/eV/f.u.): 12.97

Lattice parameters (Å, degrees): 3.8857 3.8857 20.9427 90.00 90.00 90.00
Space group P4/mmm (No. 123)
Asymmetric unit:
La (0.0000, 0.0000, 0.0000) x1
La (0.0000, 0.0000, 0.1908) x2
La (0.0000, 0.0000, 0.3823) x2
Sm (0.5000, 0.5000, 0.5000) x1
Cd (0.5000, 0.5000, 0.0953) x2
Cd (0.5000, 0.5000, 0.2887) x2



(4)
Below is an optimized crystal structure of La4SmCd5, with properties calculated at the GGA-PBE level.

Summary:
VASP energy (eV/cell): -32.26
Magnetic moment (μB per formula unit): 1.6
D(E_F) (states/eV/f.u.): 13.32

Lattice parameters (Å, degrees): 3.9130 3.9130 19.5627 90.00 90.00 90.00
Space group P4/mmm (No. 123)
Asymmetric unit:
La (0.0000, 0.0000, 0.1017) x2
La (0.0000, 0.0000, 0.3045) x2
Sm (0.0000, 0.0000, 0.5000) x1
Cd (0.5000, 0.5000, 0.0000) x1
Cd (0.5000, 0.5000, 0.2027) x2
Cd (0.5000, 0.5000, 0.4077) x2



(5)
Below is an optimized crystal structure of LaSm2Cd, with properties calculated at the GGA-PBE level.

Summary:
VASP energy (eV/cell): -61.04
Magnetic moment (μB per formula unit): 1.4
D(E_F) (states/eV/f.u.): 7.04

Lattice parameters (Å, degrees): 7.8511 7.8511 7.8511 90.00 90.00 90.00
Space group Fm-3m (No. 225)
Asymmetric unit:
La (0.0000, 0.0000, 0.0000) x4
Sm (0.2500, 0.2500, 0.2500) x8
Cd (0.0000, 0.0000, 0.5000) x4



(6)
Below is an optimized crystal structure of La2Sm3Cd2, with properties calculated at the GGA-PBE level.

Summary:
VASP energy (eV/cell): -80.76
Magnetic moment (μB per formula unit): 0.0
D(E_F) (states/eV/f.u.): 7.85

Lattice parameters (Å, degrees): 5.5824 5.5824 24.6840 90.00 90.00 120.00
Space group R-3m (No. 166, hexagonal axes)
Asymmetric unit:
La (0.0000, 0.0000, 0.0749) x6
Sm (0.0000, 0.0000, 0.3430) x6
Sm (0.0000, 0.0000, 0.5000) x3
Cd (0.0000, 0.0000, 0.2121) x6



(7)
Below is an optimized crystal structure of La3SmCd2, with properties calculated at the GGA-PBE level.

Summary:
VASP energy (eV/cell): -22.55
Magnetic moment (μB per formula unit): 0.3
D(E_F) (states/eV/f.u.): 8.35

Lattice parameters (Å, degrees): 3.8437 3.8437 13.1220 90.00 90.00 90.00
Space group P4/mmm (No. 123)
Asymmetric unit:
La (0.0000, 0.0000, 0.0000) x1
La (0.0000, 0.0000, 0.3100) x2
Sm (0.5000, 0.5000, 0.5000) x1
Cd (0.5000, 0.5000, 0.1574) x2



(8)
Below is an optimized crystal structure of La3Sm8Cd, with properties calculated at the GGA-PBE level.

Summary:
VASP energy (eV/cell): -96.10
Magnetic moment (μB per formula unit): 0.0
D(E_F) (states/eV/f.u.): 18.54

Lattice parameters (Å, degrees): 8.7403 8.7403 11.4348 90.00 90.00 90.00
Space group I-42m (No. 121)
Asymmetric unit:
La (0.0000, 0.0000, 0.0000) x2
La (0.0000, 0.5000, 0.2500) x4
Sm (0.1249, 0.1249, 0.2512) x8
Sm (0.2478, 0.2478, 0.4977) x8
Cd (0.0000, 0.0000, 0.5000) x2



(9)
Below is an optimized crystal structure of La4SmCd, with properties calculated at the GGA-PBE level.

Summary:
VASP energy (eV/cell): -25.96
Magnetic moment (μB per formula unit): 0.0
D(E_F) (states/eV/f.u.): 8.16

Lattice parameters (Å, degrees): 3.7739 3.7739 14.3670 90.00 90.00 90.00
Space group P4/mmm (No. 123)
Asymmetric unit:
La (0.0000, 0.0000, 0.1473) x2
La (0.5000, 0.5000, 0.3238) x2
Sm (0.0000, 0.0000, 0.5000) x1
Cd (0.5000, 0.5000, 0.0000) x1



(10)
Below is an optimized crystal structure of La3Sm3Cd, with properties calculated at the GGA-PBE level.

Summary:
VASP energy (eV/cell): -60.39
Magnetic moment (μB per formula unit): 0.0
D(E_F) (states/eV/f.u.): 8.49

Lattice parameters (Å, degrees): 9.6593 5.7405 9.6644 90.00 119.98 90.00
Space group P2_1/m (No. 11)
Asymmetric unit:
La (0.0228, 0.2500, 0.3904) x2
La (0.1326, 0.7500, 0.0235) x2
La (0.3909, 0.7500, 0.8677) x2
Sm (0.2598, 0.7500, 0.4408) x2
Sm (0.3192, 0.2500, 0.2601) x2
Sm (0.4404, 0.2500, 0.6809) x2
Cd (0.1667, 0.2500, 0.8337) x2



(11)
Below is an optimized crystal structure of La6SmCd5, with properties calculated at the GGA-PBE level.

Summary:
VASP energy (eV/cell): -41.72
Magnetic moment (μB per formula unit): 0.5
D(E_F) (states/eV/f.u.): 17.03

Lattice parameters (Å, degrees): 5.6039 7.8302 8.9690 90.00 108.25 90.00
Space group P2/m (No. 10)
Asymmetric unit:
La (0.0000, 0.2326, 0.0000) x2
La (0.3288, 0.2494, 0.6549) x4
Sm (0.5000, 0.5000, 0.0000) x1
Cd (0.1542, 0.5000, 0.3116) x2
Cd (0.1642, 0.0000, 0.3329) x2
Cd (0.5000, 0.0000, 0.0000) x1



(12)
Below is an optimized crystal structure of LaSmCdSn, with properties calculated at the GGA-PBE level.

Summary:
VASP energy (eV/cell): -67.02
Magnetic moment (μB per formula unit): 0.0
D(E_F) (states/eV/f.u.): 3.27

Lattice parameters (Å, degrees): 7.7443 7.7443 7.7443 90.00 90.00 90.00
Space group F-43m (No. 216)
Asymmetric unit:
La (0.0000, 0.0000, 0.0000) x4
Sm (0.0000, 0.0000, 0.5000) x4
Cd (0.2500, 0.2500, 0.7500) x4
Sn (0.2500, 0.2500, 0.2500) x4



(13)
Below is an optimized crystal structure of La2SmCd2Sn2, with properties calculated at the GGA-PBE level.

Summary:
VASP energy (eV/cell): -80.87
Magnetic moment (μB per formula unit): 0.0
D(E_F) (states/eV/f.u.): 6.00

Lattice parameters (Å, degrees): 4.9918 4.9918 27.9847 90.00 90.00 120.00
Space group R-3m (No. 166, hexagonal axes)
Asymmetric unit:
La (0.0000, 0.0000, 0.1325) x6
Sm (0.0000, 0.0000, 0.0000) x3
Cd (0.0000, 0.0000, 0.4119) x6
Sn (0.0000, 0.0000, 0.2695) x6



(14)
Below is an optimized crystal structure of La2TbSm2Cd5, with properties calculated at the GGA-PBE level.

Summary:
VASP energy (eV/cell): -61.12
Magnetic moment (μB per formula unit): 0.0
D(E_F) (states/eV/f.u.): 7.03

Lattice parameters (Å, degrees): 10.7787 10.7787 4.8668 90.00 90.00 90.00
Space group P4/mbm (No. 127)
Asymmetric unit:
La (0.1755, 0.3245, 0.0000) x4
Tb (0.0000, 0.0000, 0.0000) x2
Sm (0.1248, 0.6248, 0.0000) x4
Cd (0.0000, 0.5000, 0.5000) x2
Cd (0.0669, 0.8082, 0.5000) x8



(15)
Below is an optimized crystal structure of La2TbSm2Cd, with properties calculated at the GGA-PBE level.

Summary:
VASP energy (eV/cell): -49.17
Magnetic moment (μB per formula unit): 0.0
D(E_F) (states/eV/f.u.): 8.65

Lattice parameters (Å, degrees): 6.6514 10.0838 5.8199 90.00 90.00 90.00
Space group Pnnm (No. 58)
Asymmetric unit:
La (0.2067, 0.1400, 0.0000) x4
Tb (0.0000, 0.5000, 0.0000) x2
Sm (0.2007, 0.2972, 0.5000) x4
Cd (0.0000, 0.0000, 0.5000) x2



(16)
Below is an optimized crystal structure of La2TbSm7Cd2, with properties calculated at the GGA-PBE level.

Summary:
VASP energy (eV/cell): -98.69
Magnetic moment (μB per formula unit): 0.0
D(E_F) (states/eV/f.u.): 18.84

Lattice parameters (Å, degrees): 10.1832 6.9701 11.0953 90.00 90.05 90.00
Space group C2/m (No. 12)
Asymmetric unit:
La (0.0003, 0.0000, 0.1499) x4
Tb (0.0000, 0.5000, 0.5000) x2
Sm (0.0000, 0.0000, 0.5000) x2
Sm (0.1902, 0.5000, 0.0005) x4
Sm (0.2499, 0.2501, 0.3303) x8
Cd (0.9996, 0.5000, 0.2267) x4



(17)
Below is an optimized crystal structure of LaSmThCd, with properties calculated at the GGA-PBE level.

Summary:
VASP energy (eV/cell): -70.86
Magnetic moment (μB per formula unit): 0.4
D(E_F) (states/eV/f.u.): 6.35

Lattice parameters (Å, degrees): 7.9210 7.9210 7.9210 90.00 90.00 90.00
Space group F-43m (No. 216)
Asymmetric unit:
La (0.0000, 0.0000, 0.0000) x4
Sm (0.0000, 0.0000, 0.5000) x4
Th (0.2500, 0.2500, 0.7500) x4
Cd (0.2500, 0.2500, 0.2500) x4



(18)
Below is an optimized crystal structure of LaSmThCd, with properties calculated at the GGA-PBE level.

Summary:
VASP energy (eV/cell): -18.66
Magnetic moment (μB per formula unit): 0.0
D(E_F) (states/eV/f.u.): 3.42

Lattice parameters (Å, degrees): 3.6612 3.6612 9.2152 90.00 90.00 90.00
Space group P4mm (No. 99)
Asymmetric unit:
La (0.0000, 0.0000, 0.0000) x1
Sm (0.0000, 0.0000, 0.4726) x1
Th (0.5000, 0.5000, 0.7331) x1
Cd (0.5000, 0.5000, 0.2473) x1



(19)
Below is an optimized crystal structure of LaSm2Tl2Cd2, with properties calculated at the GGA-PBE level.

Summary:
VASP energy (eV/cell): -67.29
Magnetic moment (μB per formula unit): 0.0
D(E_F) (states/eV/f.u.): 4.63

Lattice parameters (Å, degrees): 5.0658 5.0658 27.2246 90.00 90.00 120.00
Space group R-3m (No. 166, hexagonal axes)
Asymmetric unit:
La (0.0000, 0.0000, 0.0000) x3
Sm (0.0000, 0.0000, 0.1337) x6
Tl (0.0000, 0.0000, 0.2677) x6
Cd (0.0000, 0.0000, 0.4271) x6



(20)
Below is an optimized crystal structure of La2SmTl2Cd2, with properties calculated at the GGA-PBE level.

Summary:
VASP energy (eV/cell): -67.88
Magnetic moment (μB per formula unit): 0.0
D(E_F) (states/eV/f.u.): 4.22

Lattice parameters (Å, degrees): 4.9735 4.9735 27.7281 90.00 90.00 120.00
Space group R-3m (No. 166, hexagonal axes)
Asymmetric unit:
La (0.0000, 0.0000, 0.1387) x6
Sm (0.0000, 0.0000, 0.0000) x3
Tl (0.0000, 0.0000, 0.2738) x6
Cd (0.0000, 0.0000, 0.4179) x6